No. 1
# HoPaC2 PBE optimized geometry
# **Total magnetic moment**: 0.006 μB/f.u.
# **Uncorrected energy**: -136.7 eV per cell
# **Calculated volume**: 262.5 Å³/cell
# **Density**: 10.63 g/cm3
data_HoPaC2
_symmetry_space_group_name_H-M 'I 41/a m d'
_symmetry_Int_Tables_number 141
_cell_length_a 5.059
_cell_length_b 5.059
_cell_length_c 10.255
_cell_angle_alpha 90.00
_cell_angle_beta 90.00
_cell_angle_gamma 90.00
loop_
_symmetry_equiv_pos_as_xyz
'x,y,z'
'-x,-y,-z'
'-y+1/4,x+3/4,z+1/4'
'y+1/4,-x+3/4,-z+1/4'
'-x+1/2,-y,z+1/2'
'x+1/2,y,-z+1/2'
'y+1/4,-x+1/4,z+3/4'
'-y+1/4,x+1/4,-z+3/4'
'x,-y,-z'
'-x,y,z'
'-y+1/4,-x+1/4,-z+3/4'
'y+1/4,x+1/4,z+3/4'
'-x+1/2,y,-z+1/2'
'x+1/2,-y,z+1/2'
'y+1/4,x+3/4,-z+1/4'
'-y+1/4,-x+3/4,z+1/4'
'x+1/2,y+1/2,z+1/2'
'-x+1/2,-y+1/2,-z+1/2'
'-y+3/4,x+1/4,z+3/4'
'y+3/4,-x+1/4,-z+3/4'
'-x,-y+1/2,z'
'x,y+1/2,-z'
'y+3/4,-x+3/4,z+1/4'
'-y+3/4,x+3/4,-z+1/4'
'x+1/2,-y+1/2,-z+1/2'
'-x+1/2,y+1/2,z+1/2'
'-y+3/4,-x+3/4,-z+1/4'
'y+3/4,x+3/4,z+1/4'
'-x,y+1/2,-z'
'x,-y+1/2,z'
'y+3/4,x+1/4,-z+3/4'
'-y+3/4,-x+1/4,z+3/4'
loop_
_atom_site_label
_atom_site_type_symbol
_atom_site_fract_x
_atom_site_fract_y
_atom_site_fract_z
Ho1 Ho 0.000 0.250 0.375
Pa1 Pa 0.000 0.250 0.875
C1 C 0.000 0.250 0.111

---

No. 2
# Ho3PbC PBE optimized geometry
# **Total magnetic moment**: 0.007 μB/f.u.
# **Uncorrected energy**: -29.4 eV per cell
# **Calculated volume**: 116.6 Å³/cell
# **Density**: 10.17 g/cm3
data_Ho3PbC
_symmetry_space_group_name_H-M 'P m -3 m'
_symmetry_Int_Tables_number 221
_symmetry_space_group_name_Hall '-P 4 2 3'
_cell_length_a 4.885
_cell_length_b 4.885
_cell_length_c 4.885
_cell_angle_alpha 90.00
_cell_angle_beta 90.00
_cell_angle_gamma 90.00
loop_
_atom_site_label
_atom_site_type_symbol
_atom_site_fract_x
_atom_site_fract_y
_atom_site_fract_z
Ho1 Ho 0.000 0.000 0.500
Pb1 Pb 0.500 0.500 0.500
C1 C 0.000 0.000 0.000

---

No. 3
# PrHo2PbC PBE optimized geometry
# **Total magnetic moment**: 0.006 μB/f.u.
# **Uncorrected energy**: -29.2 eV per cell
# **Calculated volume**: 124.6 Å³/cell
# **Density**: 9.19 g/cm3
data_PrHo2PbC
_symmetry_space_group_name_H-M 'P 4/m m m'
_symmetry_Int_Tables_number 123
_symmetry_space_group_name_Hall '-P 4 2'
_cell_length_a 4.907
_cell_length_b 4.907
_cell_length_c 5.176
_cell_angle_alpha 90.00
_cell_angle_beta 90.00
_cell_angle_gamma 90.00
loop_
_atom_site_label
_atom_site_type_symbol
_atom_site_fract_x
_atom_site_fract_y
_atom_site_fract_z
Pr1 Pr 0.000 0.000 0.000
Ho1 Ho 0.000 0.500 0.500
Pb1 Pb 0.500 0.500 0.000
C1 C 0.000 0.000 0.500

---

No. 4
# Pr2HoPbC PBE optimized geometry
# **Total magnetic moment**: 0.005 μB/f.u.
# **Uncorrected energy**: -29.2 eV per cell
# **Calculated volume**: 131.7 Å³/cell
# **Density**: 8.39 g/cm3
data_Pr2HoPbC
_symmetry_space_group_name_H-M 'P 4/m m m'
_symmetry_Int_Tables_number 123
_symmetry_space_group_name_Hall '-P 4 2'
_cell_length_a 5.183
_cell_length_b 5.183
_cell_length_c 4.903
_cell_angle_alpha 90.00
_cell_angle_beta 90.00
_cell_angle_gamma 90.00
loop_
_atom_site_label
_atom_site_type_symbol
_atom_site_fract_x
_atom_site_fract_y
_atom_site_fract_z
Pr1 Pr 0.000 0.500 0.000
Ho1 Ho 0.000 0.000 0.500
Pb1 Pb 0.500 0.500 0.500
C1 C 0.000 0.000 0.000

---

No. 5
# Ho4PbC2S PBE optimized geometry
# **Total magnetic moment**: 0.002 μB/f.u.
# **Uncorrected energy**: -51.7 eV per cell
# **Calculated volume**: 167.0 Å³/cell
# **Density**: 9.18 g/cm3
data_Ho4PbC2S
_symmetry_space_group_name_H-M 'P -6 m 2'
_symmetry_Int_Tables_number 187
_symmetry_space_group_name_Hall 'P -6 2'
_cell_length_a 3.6561
_cell_length_b 3.6561
_cell_length_c 14.4286
_cell_angle_alpha 90.00
_cell_angle_beta 90.00
_cell_angle_gamma 120.00
loop_
_atom_site_label
_atom_site_type_symbol
_atom_site_fract_x
_atom_site_fract_y
_atom_site_fract_z
Ho1 Ho 0.0000 0.0000 0.1294
Ho2 Ho 0.6667 0.3333 0.3131
Pb1 Pb 0.0000 0.0000 0.5000
C1 C 0.3333 0.6667 0.2237
S1 S 0.6667 0.3333 0.0000

---

No. 6
# HoSc3Pb2C2 PBE optimized geometry
# **Total magnetic moment**: 0.018 μB/f.u.
# **Uncorrected energy**: -54.0 eV per cell
# **Calculated volume**: 159.2 Å³/cell
# **Density**: 7.70 g/cm3
data_HoSc3Pb2C2
_symmetry_space_group_name_H-M 'P 3 m 1'
_symmetry_Int_Tables_number 156
_cell_length_a 3.4568
_cell_length_b 3.4568
_cell_length_c 15.3811
_cell_angle_alpha 90.00
_cell_angle_beta 90.00
_cell_angle_gamma 120.00
loop_
_symmetry_equiv_pos_as_xyz
'x,y,z'
'-y,x-y,z'
'-x+y,-x,z'
'-y,-x,z'
'-x+y,y,z'
'x,x-y,z'
loop_
_atom_site_label
_atom_site_type_symbol
_atom_site_fract_x
_atom_site_fract_y
_atom_site_fract_z
Ho1 Ho 0.0000 0.0000 0.0000
Sc1 Sc 0.0000 0.0000 0.3442
Sc2 Sc 0.3333 0.6667 0.4986
Sc3 Sc 0.3333 0.6667 0.8350
Pb1 Pb 0.0000 0.0000 0.6664
Pb2 Pb 0.3333 0.6667 0.1779
C1 C 0.6667 0.3333 0.4214
C2 C 0.6667 0.3333 0.9116

---

No. 7
# Ho4SnPbC2 PBE optimized geometry
# **Total magnetic moment**: 0.002 μB/f.u.
# **Uncorrected energy**: -48.7 eV per cell
# **Calculated volume**: 179.6 Å³/cell
# **Density**: 9.33 g/cm3
data_Ho4SnPbC2
_symmetry_space_group_name_H-M 'P -6 m 2'
_symmetry_Int_Tables_number 187
_symmetry_space_group_name_Hall 'P -6 2'
_cell_length_a 3.6100
_cell_length_b 3.6100
_cell_length_c 15.9138
_cell_angle_alpha 90.00
_cell_angle_beta 90.00
_cell_angle_gamma 120.00
loop_
_atom_site_label
_atom_site_type_symbol
_atom_site_fract_x
_atom_site_fract_y
_atom_site_fract_z
Ho1 Ho 0.0000 0.0000 0.1634
Ho2 Ho 0.3333 0.6667 0.3302
Sn1 Sn 0.3333 0.6667 0.0000
Pb1 Pb 0.0000 0.0000 0.5000
C1 C 0.6667 0.3333 0.2478

---

No. 8
# TbHoPbC PBE optimized geometry
# **Total magnetic moment**: 0.012 μB/f.u.
# **Uncorrected energy**: -48.2 eV per cell
# **Calculated volume**: 185.0 Å³/cell
# **Density**: 9.75 g/cm3
data_TbHoPbC
_symmetry_space_group_name_H-M 'P 63 m c'
_symmetry_Int_Tables_number 186
_symmetry_space_group_name_Hall 'P 6c -2c'
_cell_length_a 3.6377
_cell_length_b 3.6377
_cell_length_c 16.1475
_cell_angle_alpha 90.00
_cell_angle_beta 90.00
_cell_angle_gamma 120.00
loop_
_atom_site_label
_atom_site_type_symbol
_atom_site_fract_x
_atom_site_fract_y
_atom_site_fract_z
Tb1 Tb 0.3333 0.6667 0.0000
Ho1 Ho 0.3333 0.6667 0.3348
Pb1 Pb 0.3333 0.6667 0.6681
C1 C 0.0000 0.0000 0.4165

---

Repeat the fifth record exactly.
# Ho4PbC2S PBE optimized geometry
# **Total magnetic moment**: 0.002 μB/f.u.
# **Uncorrected energy**: -51.7 eV per cell
# **Calculated volume**: 167.0 Å³/cell
# **Density**: 9.18 g/cm3
data_Ho4PbC2S
_symmetry_space_group_name_H-M 'P -6 m 2'
_symmetry_Int_Tables_number 187
_symmetry_space_group_name_Hall 'P -6 2'
_cell_length_a 3.6561
_cell_length_b 3.6561
_cell_length_c 14.4286
_cell_angle_alpha 90.00
_cell_angle_beta 90.00
_cell_angle_gamma 120.00
loop_
_atom_site_label
_atom_site_type_symbol
_atom_site_fract_x
_atom_site_fract_y
_atom_site_fract_z
Ho1 Ho 0.0000 0.0000 0.1294
Ho2 Ho 0.6667 0.3333 0.3131
Pb1 Pb 0.0000 0.0000 0.5000
C1 C 0.3333 0.6667 0.2237
S1 S 0.6667 0.3333 0.0000